# 1
First-principles (PBE) data for AcNdSn3 after structural relaxation, as listed in Alexandria via LeMat-Bulk.

a = 15.5775 Å, b = 15.5775 Å, c = 4.5136 Å
α = 90.00°, β = 90.00°, γ = 162.99°
Last column: nearest neighbours and their distance in Å.
Sites, in units of the cell vectors:
1 Ac 0.0772 0.9228 0.7500  8 Sn 3.54-3.57
2 Ac 0.9228 0.0772 0.2500  8 Sn 3.54-3.57
3 Nd 0.2052 0.7948 0.2500  7 Sn 3.21-3.33
4 Nd 0.7948 0.2052 0.7500  7 Sn 3.21-3.33
5 Sn 0.3094 0.6906 0.2500  2 Sn 2.99, 5 Nd 3.21-3.26
6 Sn 0.3729 0.6271 0.7500  3 Sn 2.99, 2 Nd 3.33
7 Sn 0.4701 0.5299 0.7500  3 Sn 2.91-2.99
8 Sn 0.5299 0.4701 0.2500  3 Sn 2.91-2.99
9 Sn 0.6271 0.3729 0.2500  3 Sn 2.99, 2 Nd 3.33
10 Sn 0.6906 0.3094 0.7500  2 Sn 2.99, 5 Nd 3.21-3.26

## Properties
As for the mass density: 7.5 g/cm3. The formation energy is -619 meV per atom. The space group is Cmcm.


# 2
First-principles (PBE) data for Pm2Zn7Ag after structural relaxation, as listed in Alexandria via LeMat-Bulk.

a = 4.2496 Å, b = 4.2496 Å, c = 10.7192 Å
α = 90.00°, β = 90.00°, γ = 90.00°
Last column: nearest neighbours and their distance in Å.
Sites, in units of the cell vectors:
1 Pm 0.0000 0.5000 0.2398  14 Zn 3.23-3.51, 2 Ag 3.51
2 Pm 0.5000 0.0000 0.7602  14 Zn 3.23-3.51, 2 Ag 3.51
3 Zn 0.0000 0.0000 0.0000  4 Zn 2.53
4 Zn 0.0000 0.5000 0.6433  3 Zn 2.44-2.62, 2 Ag 2.62
5 Zn 0.0000 0.5000 0.8712  5 Zn 2.44-2.53
6 Zn 0.5000 0.0000 0.1288  5 Zn 2.44-2.53
7 Zn 0.5000 0.0000 0.3567  3 Zn 2.44-2.62, 2 Ag 2.62
8 Zn 0.5000 0.5000 0.0000  4 Zn 2.53
9 Zn 0.5000 0.5000 0.5000  4 Zn 2.62
10 Ag 0.0000 0.0000 0.5000  4 Zn 2.62

## Properties
As for the mass density: 7.3 g/cm3. The formation energy is -288 meV per atom. The space group is P-4m2.


mass density of number 1 (AcNdSn3)? 7.5 g/cm3


Repeat the first record exactly.
First-principles (PBE) data for AcNdSn3 after structural relaxation, as listed in Alexandria via LeMat-Bulk.

a = 15.5775 Å, b = 15.5775 Å, c = 4.5136 Å
α = 90.00°, β = 90.00°, γ = 162.99°
Last column: nearest neighbours and their distance in Å.
Sites, in units of the cell vectors:
1 Ac 0.0772 0.9228 0.7500  8 Sn 3.54-3.57
2 Ac 0.9228 0.0772 0.2500  8 Sn 3.54-3.57
3 Nd 0.2052 0.7948 0.2500  7 Sn 3.21-3.33
4 Nd 0.7948 0.2052 0.7500  7 Sn 3.21-3.33
5 Sn 0.3094 0.6906 0.2500  2 Sn 2.99, 5 Nd 3.21-3.26
6 Sn 0.3729 0.6271 0.7500  3 Sn 2.99, 2 Nd 3.33
7 Sn 0.4701 0.5299 0.7500  3 Sn 2.91-2.99
8 Sn 0.5299 0.4701 0.2500  3 Sn 2.91-2.99
9 Sn 0.6271 0.3729 0.2500  3 Sn 2.99, 2 Nd 3.33
10 Sn 0.6906 0.3094 0.7500  2 Sn 2.99, 5 Nd 3.21-3.26

## Properties
As for the mass density: 7.5 g/cm3. The formation energy is -619 meV per atom. The space group is Cmcm.


Among the records above, which one has the lowest mass density? Pm2Zn7Ag